{"formula": "NaZrAsSe2", "functional": "PBE-GGA", "state": "relaxed", "sg": "No. 123", "vol_a3_per_atom": 23.788, "e_above_lowest_polymorph_kj_per_mol_atoms": 109.9, "magmom_total_mub_per_cell": 0.00, "crystal_system": "tetragonal", "raw_formation_energy_ev_per_atom": 0.5386, "lattice": [[4.960, 0.000, 0.000], [0.000, 4.960, 0.000], [0.000, 0.000, 4.835]], "species": ["Se", "Se", "As", "Zr", "Na"], "frac_coords": [[0.000, 0.500, 0.000], [0.500, 0.000, 0.000], [0.000, 0.000, 0.500], [0.500, 0.500, 0.500], [0.000, 0.000, 0.000]]}